# 1
An optimized crystal structure of Cd2GaMo, computed with PBE.

The space group is I-42d (No. 122) and the conventional cell measures 7.6114, 7.6114 and 5.4505 Å, with angles of 90.00, 90.00 and 90.00 degrees. The asymmetric unit holds Cd at (0.2337, 0.2500, 0.1250), Ga at (0.0000, 0.0000, 0.0000) and Mo at (0.0000, 0.0000, 0.5000).

For the electronic total energy, the calculation gives -0.1226 Ha/atom. The calculation puts the density of states at the Fermi level at 5.47 states/eV/cell.

=====

# 2
An optimized crystal structure of KAlTc2Te, computed with PBE.

The space group is P4/mmm (No. 123) and the conventional cell measures 4.7641, 4.7641 and 5.1953 Å, with angles of 90.00, 90.00 and 90.00 degrees. The asymmetric unit holds K at (0.0000, 0.0000, 0.0000), Al at (0.0000, 0.0000, 0.5000), Tc at (0.0000, 0.5000, 0.0000) and Te at (0.5000, 0.5000, 0.5000).

For the electronic total energy, the calculation gives -0.1181 Ha/atom. The calculation puts the density of states at the Fermi level at 6.28 states/eV/cell. The value obtained for the uncorrected formation energy is 2.53 eV/atom.

=====

# 3
An optimized crystal structure of CeYSc, computed with PBE.

The space group is P3m1 (No. 156) and the conventional cell measures 3.4342, 3.4342 and 8.3273 Å, with angles of 90.00, 90.00 and 120.00 degrees. The asymmetric unit holds Ce at (0.0000, 0.0000, 0.0000), Y at (0.6667, 0.3333, 0.3481) and Sc at (0.3333, 0.6667, 0.6815).

For the electronic total energy, the calculation gives -0.2264 Ha/atom. The calculation puts the density of states at the Fermi level at 6.19 states/eV/cell. As for the energy relative to the lowest polymorph listed for this composition: 0 meV per atom.

=====

# 4
An optimized crystal structure of CePm2Tm, computed with PBE.

The space group is R3m (No. 160, hexagonal axes) and the conventional cell measures 3.5685, 3.5685 and 34.9275 Å, with angles of 90.00, 90.00 and 120.00 degrees. The asymmetric unit holds Ce at (0.0000, 0.0000, 0.0000), Pm at (0.0000, 0.0000, 0.2501), Pm at (0.0000, 0.0000, 0.4175) and Tm at (0.0000, 0.0000, 0.8337).

For the electronic total energy, the calculation gives -0.1805 Ha/atom. The calculation puts the density of states at the Fermi level at 22.01 states/eV/cell. As for the energy relative to the lowest polymorph listed for this composition: 0 meV per atom.

=====

# 5
An optimized crystal structure of Mg2Si, computed with PBE.

The space group is P-1 (No. 2) and the conventional cell measures 5.1789, 6.6428 and 7.6597 Å, with angles of 108.60, 100.71 and 97.93 degrees. The asymmetric unit holds Mg at (0.1196, 0.3981, 0.3326), Mg at (0.2098, 0.9341, 0.4062), Mg at (0.2618, 0.0821, 0.9534), Mg at (0.3759, 0.3946, 0.7534), Si at (0.1512, 0.6732, 0.0523) and Si at (0.4176, 0.7665, 0.6722).

For the electronic total energy, the calculation gives -0.1049 Ha/atom. The calculation puts the density of states at the Fermi level at 3.72 states/eV/cell. The value obtained for the uncorrected formation energy is 0.02 eV/atom.

=====

# 6
An optimized crystal structure of HfNb3Fe, computed with PBE.

The space group is Pm-3m (No. 221) and the conventional cell measures 4.6303, 4.6303 and 4.6303 Å, with angles of 90.00, 90.00 and 90.00 degrees. The asymmetric unit holds Hf at (0.0000, 0.0000, 0.0000), Nb at (0.0000, 0.5000, 0.5000) and Fe at (0.5000, 0.5000, 0.5000).

For the electronic total energy, the calculation gives -0.3375 Ha/atom. The calculation puts the density of states at the Fermi level at 5.55 states/eV/cell.

=====

# 7
An optimized crystal structure of La4CeHg5, computed with PBE.

The space group is P4/mmm (No. 123) and the conventional cell measures 3.9103, 3.9103 and 19.3828 Å, with angles of 90.00, 90.00 and 90.00 degrees. The asymmetric unit holds La at (0.0000, 0.0000, 0.1012), La at (0.0000, 0.0000, 0.3029), Ce at (0.0000, 0.0000, 0.5000), Hg at (0.5000, 0.5000, 0.0000), Hg at (0.5000, 0.5000, 0.2016) and Hg at (0.5000, 0.5000, 0.4043).

For the electronic total energy, the calculation gives -0.1166 Ha/atom. The calculation puts the density of states at the Fermi level at 18.04 states/eV/cell.

=====

# 8
An optimized crystal structure of TbNd6Y3, computed with PBE.

The space group is Cmc2_1 (No. 36) and the conventional cell measures 11.1855, 19.5325 and 6.2930 Å, with angles of 90.00, 90.00 and 90.00 degrees. The asymmetric unit holds Tb at (0.0000, 0.2004, 0.0000), Nd at (0.0000, 0.0409, 0.7967), Nd at (0.0000, 0.2796, 0.5245), Nd at (0.1671, 0.4575, 0.4221), Nd at (0.2356, 0.2902, 0.2504), Y at (0.0000, 0.3855, 0.9577) and Y at (0.1687, 0.1128, 0.3471).

For the electronic total energy, the calculation gives -0.1885 Ha/atom. The calculation puts the density of states at the Fermi level at 55.35 states/eV/cell.

=====

# 9
An optimized crystal structure of Mg3HgPd, computed with PBE.

The space group is Cmce (No. 64) and the conventional cell measures 14.3518, 10.0770 and 5.8629 Å, with angles of 90.00, 90.00 and 90.00 degrees. The asymmetric unit holds Mg at (0.0000, 0.0381, 0.2413), Mg at (0.1492, 0.1870, 0.6282), Hg at (0.2500, 0.0667, 0.2500) and Pd at (0.0000, 0.2184, 0.9015).

For the electronic total energy, the calculation gives -0.0878 Ha/atom. The calculation puts the density of states at the Fermi level at 12.24 states/eV/cell. As for the energy relative to the lowest polymorph listed for this composition: 61 meV per atom.

=====

# 10
An optimized crystal structure of Ca3Zn, computed with PBE.

The space group is Pmm2 (No. 25) and the conventional cell measures 3.7229, 3.8868 and 10.0193 Å, with angles of 90.00, 90.00 and 90.00 degrees. The asymmetric unit holds Ca at (0.0000, 0.0000, 0.0000), Ca at (0.0000, 0.5000, 0.3324), Ca at (0.5000, 0.5000, 0.7088) and Zn at (0.5000, 0.0000, 0.4739).

For the electronic total energy, the calculation gives -0.0659 Ha/atom. The calculation puts the density of states at the Fermi level at 3.71 states/eV/cell. As for the energy relative to the lowest polymorph listed for this composition: 153 meV per atom.

=====

# 11
An optimized crystal structure of EuGd3Cu, computed with PBE.

The space group is Pm-3m (No. 221) and the conventional cell measures 5.5256, 5.5256 and 5.5256 Å, with angles of 90.00, 90.00 and 90.00 degrees. The asymmetric unit holds Eu at (0.0000, 0.0000, 0.0000), Gd at (0.0000, 0.5000, 0.5000) and Cu at (0.5000, 0.5000, 0.5000).

For the electronic total energy, the calculation gives -0.4130 Ha/atom. The calculation puts the density of states at the Fermi level at 11.05 states/eV/cell.

=====

# 12
An optimized crystal structure of CaAl3Au2, computed with PBE.

The space group is C2/m (No. 12) and the conventional cell measures 17.0517, 4.2015 and 10.4201 Å, with angles of 90.00, 106.78 and 90.00 degrees. The asymmetric unit holds Ca at (0.0000, 0.0000, 0.0000), Ca at (0.1561, 0.0000, 0.7034), Al at (0.0000, 0.5000, 0.5000), Al at (0.0413, 0.0000, 0.3578), Al at (0.1267, 0.5000, 0.2011), Al at (0.1729, 0.5000, 0.9664), Al at (0.2127, 0.0000, 0.3857), Au at (0.0293, 0.5000, 0.7864), Au at (0.1426, 0.5000, 0.4598) and Au at (0.2003, 0.0000, 0.1292).

For the electronic total energy, the calculation gives -0.1420 Ha/atom. The calculation puts the density of states at the Fermi level at 13.31 states/eV/cell. As for the energy relative to the lowest polymorph listed for this composition: 0 meV per atom.

=====

# 13
An optimized crystal structure of Ba3Se2I2, computed with PBE.

The space group is C2/m (No. 12) and the conventional cell measures 15.9006, 4.7221 and 8.9046 Å, with angles of 90.00, 100.47 and 90.00 degrees. The asymmetric unit holds Ba at (0.0000, 0.0000, 0.0000), Ba at (0.2289, 0.0000, 0.7683), Se at (0.1306, 0.5000, 0.9179) and I at (0.1336, 0.0000, 0.3689).

For the electronic total energy, the calculation gives -0.1528 Ha/atom. The calculation puts the density of states at the Fermi level at 0.00 states/eV/cell. The value obtained for the uncorrected formation energy is -1.89 eV/atom.

=====

# 14
An optimized crystal structure of K2NiW, computed with PBE.

The space group is P4/mmm (No. 123) and the conventional cell measures 2.7841, 2.7841 and 11.3013 Å, with angles of 90.00, 90.00 and 90.00 degrees. The asymmetric unit holds K at (0.0000, 0.0000, 0.2284), Ni at (0.5000, 0.5000, 0.0000) and W at (0.5000, 0.5000, 0.5000).

For the electronic total energy, the calculation gives -0.1414 Ha/atom. The calculation puts the density of states at the Fermi level at 5.06 states/eV/cell. As for the energy relative to the lowest polymorph listed for this composition: 545 meV per atom.

=====

# 15
An optimized crystal structure of TmU6, computed with PBE.

The space group is Im-3m (No. 229) and the conventional cell measures 7.1094, 7.1094 and 7.1094 Å, with angles of 90.00, 90.00 and 90.00 degrees. The asymmetric unit holds Tm at (0.0000, 0.0000, 0.0000) and U at (0.0000, 0.2500, 0.5000).

For the electronic total energy, the calculation gives -0.3488 Ha/atom. The calculation puts the density of states at the Fermi level at 51.91 states/eV/cell.

=====

# 16
An optimized crystal structure of PHS, computed with PBE.

The space group is C2 (No. 5) and the conventional cell measures 9.9977, 3.6459 and 7.9674 Å, with angles of 90.00, 126.80 and 90.00 degrees. The asymmetric unit holds P at (0.2044, 0.0000, 0.3912), H at (0.0334, 0.0172, 0.3129) and S at (0.2453, 0.4081, 0.8063).

For the electronic total energy, the calculation gives -0.1582 Ha/atom. As for the energy relative to the lowest polymorph listed for this composition: 27 meV per atom.

=====

# 17
An optimized crystal structure of NaLaSc2, computed with PBE.

The space group is Fm-3m (No. 225) and the conventional cell measures 7.7557, 7.7557 and 7.7557 Å, with angles of 90.00, 90.00 and 90.00 degrees. The asymmetric unit holds Na at (0.0000, 0.0000, 0.0000), La at (0.0000, 0.0000, 0.5000) and Sc at (0.2500, 0.2500, 0.2500).

For the electronic total energy, the calculation gives -0.1585 Ha/atom. The calculation puts the density of states at the Fermi level at 25.74 states/eV/cell. As for the energy relative to the lowest polymorph listed for this composition: 67 meV per atom.

=====

# 18
An optimized crystal structure of Rb3Dy3RuO8, computed with PBE.

The space group is R-3m (No. 166, hexagonal axes) and the conventional cell measures 6.8001, 6.8001 and 19.7525 Å, with angles of 90.00, 90.00 and 120.00 degrees. The asymmetric unit holds Rb at (0.0000, 0.5000, 0.0000), Dy at (0.0000, 0.5000, 0.5000), Ru at (0.0000, 0.0000, 0.5000), O at (0.0000, 0.0000, 0.2242) and O at (0.0263, 0.5131, 0.2215).

For the electronic total energy, the calculation gives -0.2466 Ha/atom. The calculation puts the density of states at the Fermi level at 18.58 states/eV/cell. The value obtained for the uncorrected formation energy is -2.33 eV/atom.

=====

# 19
An optimized crystal structure of CaTaAs2, computed with PBE.

The space group is Imm2 (No. 44) and the conventional cell measures 3.4612, 3.6253 and 13.9089 Å, with angles of 90.00, 90.00 and 90.00 degrees. The asymmetric unit holds Ca at (0.0000, 0.0000, 0.0000), Ta at (0.0000, 0.5000, 0.7526), As at (0.0000, 0.0000, 0.3896) and As at (0.0000, 0.5000, 0.1764).

For the electronic total energy, the calculation gives -0.2338 Ha/atom. The calculation puts the density of states at the Fermi level at 5.11 states/eV/cell. As for the energy relative to the lowest polymorph listed for this composition: 159 meV per atom.

=====

# 20
An optimized crystal structure of LaCoNi3, computed with PBE.

The space group is Pm-3m (No. 221) and the conventional cell measures 4.4254, 4.4254 and 4.4254 Å, with angles of 90.00, 90.00 and 90.00 degrees. The asymmetric unit holds La at (0.0000, 0.0000, 0.0000), Co at (0.5000, 0.5000, 0.5000) and Ni at (0.0000, 0.5000, 0.5000).

For the electronic total energy, the calculation gives -0.2086 Ha/atom. The calculation puts the density of states at the Fermi level at 4.25 states/eV/cell. As for the energy relative to the lowest polymorph listed for this composition: 246 meV per atom.